A plane-wave DFT calculation with GGA-PBEsol was carried out for crystalline AlSb3Pt at its relaxed geometry.

Lattice parameters (Å, degrees): 5.2055 5.2055 5.2055 90.00 90.00 90.00
Last column: nearest neighbours and their distance in Å.
Element x y z (fractional)
1 Sb 0.5000 0.0000 0.0000  2 Pt 2.60
2 Pt 0.0000 0.0000 0.0000  6 Sb 2.60
3 Al 0.5000 0.5000 0.5000  12 Sb 3.68
4 Sb 0.0000 0.5000 0.0000  2 Pt 2.60
5 Sb 0.0000 0.0000 0.5000  2 Pt 2.60

Summary:
Energy relative to the elements, uncorrected ... 2.8 eV per formula unit
SG ... Pm-3m (221)
N(E_F) ... 1.049 states/eV per atom

***

A plane-wave DFT calculation with GGA-PBEsol was carried out for crystalline Al2SbPt at its relaxed geometry.

Lattice parameters (Å, degrees): 3.3404 4.3393 5.7726 102.37 90.00 112.64
Last column: nearest neighbours and their distance in Å.
Element x y z (fractional)
1 Sb 0.5000 0.0000 0.0000  6 Al 2.91-2.97
2 Al 0.2656 0.5312 0.3165  3 Pt 2.55-2.59, 2 Al 2.75
3 Pt 0.0000 0.0000 0.5000  6 Al 2.55-2.59
4 Al 0.7344 0.4688 0.6835  3 Pt 2.55-2.59, 2 Al 2.75

Summary:
Energy relative to the elements, uncorrected ... -1.2 eV per formula unit
SG ... C2/m (12)
N(E_F) ... 0.398 states/eV per atom

***

A plane-wave DFT calculation with GGA-PBEsol was carried out for crystalline AlSbPt at its relaxed geometry.

Lattice parameters (Å, degrees): 2.9164 3.2963 6.2652 105.25 103.46 90.00
Last column: nearest neighbours and their distance in Å.
Element x y z (fractional)
1 Pt 0.3564 0.3564 0.7128  4 Al 2.56
2 Sb 0.6753 0.6753 0.3506  2 Sb 2.92, 4 Pt 3.06
3 Al 0.9683 0.9683 0.9366  4 Pt 2.56

Summary:
Energy relative to the elements, uncorrected ... -0.9 eV per formula unit
SG ... Imm2 (44)
N(E_F) ... 0.390 states/eV per atom

***

A plane-wave DFT calculation with GGA-PBEsol was carried out for crystalline Al2SbPt at its relaxed geometry.

Lattice parameters (Å, degrees): 4.1960 4.1960 5.0044 114.79 114.79 90.00
Last column: nearest neighbours and their distance in Å.
Element x y z (fractional)
1 Sb 0.2500 0.7500 0.5000  4 Pt 2.91, 8 Al 2.91-2.97
2 Pt 0.5000 0.5000 0.0000  4 Sb 2.91, 8 Al 2.91-2.97
3 Al 0.7500 0.2500 0.5000  4 Al 2.91, 4 Pt 2.91, 4 Sb 2.97
4 Al 0.0000 0.0000 0.0000  4 Sb 2.91, 4 Al 2.91, 4 Pt 2.97

Summary:
Energy relative to the elements, uncorrected ... -0.3 eV per formula unit
SG ... I-4m2 (119)
N(E_F) ... 0.478 states/eV per atom

***

A plane-wave DFT calculation with GGA-PBEsol was carried out for crystalline ScAlPt2 at its relaxed geometry.

Lattice parameters (Å, degrees): 2.8907 3.0931 6.9656 90.00 90.00 90.00
Last column: nearest neighbours and their distance in Å.
Element x y z (fractional)
1 Pt 0.0000 0.0000 0.2781  4 Al 2.62, 4 Sc 2.87, 2 Pt 2.89
2 Al 0.5000 0.5000 0.5000  8 Pt 2.62, 2 Al 2.89
3 Pt 0.0000 0.0000 0.7219  4 Al 2.62, 4 Sc 2.87, 2 Pt 2.89
4 Sc 0.5000 0.5000 0.0000  8 Pt 2.87, 4 Sc 2.89-3.09

Summary:
SG ... Pmmm (47)
DFT formation energy ... -1.110 eV/atom
N(E_F) ... 0.419 states/eV per atom

***

A plane-wave DFT calculation with GGA-PBEsol was carried out for crystalline ScAl2Pt at its relaxed geometry.

Lattice parameters (Å, degrees): 3.8720 3.8720 9.9783 101.19 101.19 90.00
Last column: nearest neighbours and their distance in Å.
Element x y z (fractional)
1 Al 0.6250 0.6362 0.7500  4 Al 2.68-2.80, 2 Pt 2.75, 2 Sc 2.78
2 Pt 0.0000 0.0000 0.0000  4 Sc 2.74, 4 Al 2.75
3 Al 0.3638 0.8750 0.2500  4 Al 2.68-2.80, 2 Pt 2.75, 2 Sc 2.78
4 Sc 0.5000 0.5000 0.0000  4 Pt 2.74, 4 Al 2.78
5 Al 0.1250 0.1138 0.7500  4 Al 2.68-2.80, 2 Pt 2.75, 2 Sc 2.78
6 Al 0.8862 0.3750 0.2500  4 Al 2.68-2.80, 2 Pt 2.75, 2 Sc 2.78
7 Pt 0.2500 0.7500 0.5000  4 Sc 2.74, 4 Al 2.75
8 Sc 0.7500 0.2500 0.5000  4 Pt 2.74, 4 Al 2.78

Summary:
SG ... I-42d (122)
DFT formation energy ... -0.402 eV/atom
N(E_F) ... 0.495 states/eV per atom

***

A plane-wave DFT calculation with GGA-PBEsol was carried out for crystalline ScAl2Pt2 at its relaxed geometry.

Lattice parameters (Å, degrees): 3.8050 3.8050 6.4773 107.08 107.08 90.00
Last column: nearest neighbours and their distance in Å.
Element x y z (fractional)
1 Al 0.7500 0.2500 0.5000  4 Pt 2.50, 4 Al 2.69
2 Pt 0.3879 0.3879 0.7758  4 Al 2.50, 1 Pt 2.64
3 Sc 0.0000 0.0000 0.0000  8 Pt 3.00
4 Pt 0.6121 0.6121 0.2242  4 Al 2.50, 1 Pt 2.64
5 Al 0.2500 0.7500 0.5000  4 Pt 2.50, 4 Al 2.69

Summary:
SG ... I4/mmm (139)
DFT formation energy ... -0.985 eV/atom
N(E_F) ... 0.602 states/eV per atom

***

A plane-wave DFT calculation with GGA-PBEsol was carried out for crystalline ScAlTc2Pt at its relaxed geometry.

Lattice parameters (Å, degrees): 4.5159 4.5159 4.6938 90.00 90.00 90.00
Last column: nearest neighbours and their distance in Å.
Element x y z (fractional)
1 Sc 0.0000 0.0000 0.0000  4 Tc 2.26, 2 Pt 2.35
2 Pt 0.0000 0.0000 0.5000  2 Sc 2.35
3 Tc 0.0000 0.5000 0.0000  2 Sc 2.26
4 Al 0.5000 0.5000 0.5000  4 Pt 3.19, 8 Tc 3.26
5 Tc 0.5000 0.0000 0.0000  2 Sc 2.26

Summary:
SG ... P4/mmm (123)
DFT formation energy ... 1.464 eV/atom
N(E_F) ... 1.199 states/eV per atom